Entry from Alexandria: a geometry-optimized TiH2Rh2 structure (PBE).

Cell lengths 5.8621, 5.8621, 2.9964 Å; angles 90.00, 90.00, 90.00 degrees
With the nearest neighbours (Å) after each atom.
Sites, in units of the cell vectors:
H 0.7816 0.7184 0.0000  2 Rh 1.79
H 0.7184 0.2184 0.0000  2 Rh 1.79
H 0.2184 0.2816 0.0000  2 Rh 1.79
H 0.2816 0.7816 0.0000  2 Rh 1.79
Rh 0.3372 0.1628 0.5000  2 H 1.79
Rh 0.1628 0.6628 0.5000  2 H 1.79
Rh 0.6628 0.8372 0.5000  2 H 1.79
Rh 0.8372 0.3372 0.5000  2 H 1.79
Ti 0.5000 0.5000 0.0000  4 H 2.09
Ti 0.0000 0.0000 0.0000  4 H 2.09

Summary:
Distance to the lowest polymorph of the same formula (meV per atom): 39